Material: Ga3MoO
Method: DFT, PBE+U
State: optimized geometry

Fermi-level density of states = 0.5300 states/eV/atom
V = 74 Å³ per cell
Excess energy over the best structure of this formula in the dataset = 0 meV per atom

```
data_Ga3MoO
_cell_length_a 4.204
_cell_length_b 4.204
_cell_length_c 4.204
_cell_angle_alpha 90.00
_cell_angle_beta 90.00
_cell_angle_gamma 90.00
_symmetry_space_group_name_H-M 'P m -3 m'
_symmetry_Int_Tables_number 221
_symmetry_space_group_name_Hall '-P 4 2 3'
loop_
_atom_site_label
_atom_site_type_symbol
_atom_site_fract_x
_atom_site_fract_y
_atom_site_fract_z
Ga1 Ga 0.000 0.000 0.500
Mo1 Mo 0.500 0.500 0.500
O1 O 0.000 0.000 0.000
```